(1)
Here is an optimized crystal structure of CdP2Ir from Alexandria via LeMat-Bulk. Energies are from PBE.

Computed properties:
**SG**: C2/m (12)
**Energy of formation from the pure elements**: 429 meV per atom
**D(E_F)**: 3.38 states/eV per cell

a = 5.546 Å, b = 7.270 Å, c = 3.170 Å
α = 90.00°, β = 90.15°, γ = 90.00°
Sites, in units of the cell vectors:
Cd: 0.000 0.000 0.000
Cd: 0.500 0.500 0.000
P: 0.250 0.250 0.500
P: 0.250 0.750 0.500
P: 0.750 0.250 0.500
P: 0.750 0.750 0.500
Ir: 0.000 0.500 0.000
Ir: 0.500 0.000 0.000


(2)
Here is an optimized crystal structure of Y8HoEr6 from Alexandria via LeMat-Bulk. Energies are from PBE.

Computed properties:
**SG**: P-3 (147)
**Energy of formation from the pure elements**: 251 meV per atom
**D(E_F)**: 23.53 states/eV per cell

a = 9.335 Å, b = 9.335 Å, c = 6.569 Å
α = 90.00°, β = 90.00°, γ = 120.00°
Sites, in units of the cell vectors:
Y: 0.025 0.690 0.104
Y: 0.310 0.335 0.104
Y: 0.333 0.667 0.821
Y: 0.335 0.025 0.896
Y: 0.665 0.975 0.104
Y: 0.667 0.333 0.179
Y: 0.690 0.665 0.896
Y: 0.975 0.310 0.896
Ho: 0.000 0.000 0.500
Er: 0.087 0.408 0.405
Er: 0.322 0.913 0.405
Er: 0.408 0.322 0.595
Er: 0.592 0.678 0.405
Er: 0.678 0.087 0.595
Er: 0.913 0.592 0.595


(3)
Here is an optimized crystal structure of Ca2GaHg8 from Alexandria via LeMat-Bulk. Energies are from PBE.

Computed properties:
**SG**: C2/m (12)
**Energy of formation from the pure elements**: -192 meV per atom
**D(E_F)**: 3.05 states/eV per cell

a = 6.428 Å, b = 6.428 Å, c = 8.074 Å
α = 105.76°, β = 105.76°, γ = 78.05°
Sites, in units of the cell vectors:
Ca: 0.215 0.215 0.018
Ca: 0.785 0.785 0.982
Ga: 0.500 0.500 0.500
Hg: 0.045 0.586 0.334
Hg: 0.074 0.074 0.316
Hg: 0.414 0.955 0.666
Hg: 0.443 0.443 0.806
Hg: 0.557 0.557 0.194
Hg: 0.586 0.045 0.334
Hg: 0.926 0.926 0.684
Hg: 0.955 0.414 0.666


(4)
Here is an optimized crystal structure of K2CdPt from Alexandria via LeMat-Bulk. Energies are from PBE.

Computed properties:
**SG**: I-42d (122)
**Energy of formation from the pure elements**: 311 meV per atom
**D(E_F)**: 5.66 states/eV per cell

a = 4.464 Å, b = 4.464 Å, c = 22.747 Å
α = 90.00°, β = 90.00°, γ = 90.00°
Sites, in units of the cell vectors:
K: 0.235 0.250 0.125
K: 0.250 0.735 0.375
K: 0.250 0.765 0.875
K: 0.265 0.250 0.625
K: 0.735 0.750 0.625
K: 0.750 0.235 0.875
K: 0.750 0.265 0.375
K: 0.765 0.750 0.125
Cd: 0.000 0.000 0.500
Cd: 0.000 0.500 0.750
Cd: 0.500 0.000 0.250
Cd: 0.500 0.500 0.000
Pt: 0.000 0.000 0.000
Pt: 0.000 0.500 0.250
Pt: 0.500 0.000 0.750
Pt: 0.500 0.500 0.500


(5)
Here is an optimized crystal structure of Rb2CeF6 from Alexandria via LeMat-Bulk. Energies are from PBE.

Computed properties:
**SG**: P2_1/c (14)
**Raw formation energy**: -3.37 eV/atom
**D(E_F)**: 0.00 states/eV per cell

a = 6.577 Å, b = 8.250 Å, c = 8.106 Å
α = 90.00°, β = 116.71°, γ = 90.00°
Sites, in units of the cell vectors:
Rb: 0.170 0.042 0.316
Rb: 0.170 0.458 0.816
Rb: 0.830 0.542 0.184
Rb: 0.830 0.958 0.684
Ce: 0.500 0.000 0.000
Ce: 0.500 0.500 0.500
F: 0.199 0.138 0.964
F: 0.199 0.362 0.464
F: 0.274 0.707 0.422
F: 0.274 0.793 0.922
F: 0.412 0.033 0.710
F: 0.412 0.467 0.210
F: 0.588 0.533 0.790
F: 0.588 0.967 0.290
F: 0.726 0.207 0.078
F: 0.726 0.293 0.578
F: 0.801 0.638 0.536
F: 0.801 0.862 0.036


(6)
Here is an optimized crystal structure of CeEr6Tm5 from Alexandria via LeMat-Bulk. Energies are from PBE.

Computed properties:
**SG**: Immm (71)
**Energy of formation from the pure elements**: 40 meV per atom
**D(E_F)**: 18.58 states/eV per cell

a = 9.268 Å, b = 9.268 Å, c = 9.268 Å
α = 149.00°, β = 115.50°, γ = 73.27°
Sites, in units of the cell vectors:
Ce: 0.000 0.000 0.000
Er: 0.085 0.835 0.250
Er: 0.249 0.500 0.749
Er: 0.415 0.165 0.250
Er: 0.585 0.835 0.750
Er: 0.751 0.500 0.251
Er: 0.915 0.165 0.750
Tm: 0.167 0.667 0.500
Tm: 0.333 0.333 0.000
Tm: 0.500 0.000 0.500
Tm: 0.667 0.667 0.000
Tm: 0.833 0.333 0.500


(7)
Here is an optimized crystal structure of Ho7InNi2 from Alexandria via LeMat-Bulk. Energies are from PBE.

Computed properties:
**SG**: Cmmm (65)
**Energy of formation from the pure elements**: -71 meV per atom
**D(E_F)**: 9.47 states/eV per cell

a = 8.087 Å, b = 8.087 Å, c = 4.911 Å
α = 90.00°, β = 90.00°, γ = 113.51°
Sites, in units of the cell vectors:
Ho: 0.000 0.000 0.000
Ho: 0.186 0.446 0.000
Ho: 0.209 0.791 0.500
Ho: 0.446 0.186 0.000
Ho: 0.554 0.814 0.000
Ho: 0.791 0.209 0.500
Ho: 0.814 0.554 0.000
In: 0.500 0.500 0.500
Ni: 0.204 0.796 0.000
Ni: 0.796 0.204 0.000


(8)
Here is an optimized crystal structure of Rb2CdIn6Hg from Alexandria via LeMat-Bulk. Energies are from PBE.

Computed properties:
**SG**: R-3m (166)
**Energy of formation from the pure elements**: -29 meV per atom
**D(E_F)**: 9.44 states/eV per cell

a = 16.831 Å, b = 16.831 Å, c = 16.831 Å
α = 23.91°, β = 23.91°, γ = 23.91°
Sites, in units of the cell vectors:
Rb: 0.149 0.149 0.149
Rb: 0.297 0.297 0.297
Rb: 0.703 0.703 0.703
Rb: 0.851 0.851 0.851
Cd: 0.000 0.000 0.000
Cd: 0.500 0.500 0.500
In: 0.097 0.626 0.626
In: 0.218 0.780 0.780
In: 0.220 0.220 0.782
In: 0.220 0.782 0.220
In: 0.374 0.374 0.903
In: 0.374 0.903 0.374
In: 0.626 0.097 0.626
In: 0.626 0.626 0.097
In: 0.780 0.218 0.780
In: 0.780 0.780 0.218
In: 0.782 0.220 0.220
In: 0.903 0.374 0.374
Hg: 0.368 0.368 0.368
Hg: 0.632 0.632 0.632


Across the entries above, spin magnetization takes the values 0.00 0.00 0.00 0.00 0.18 1.11 0.00 0.00 μB per formula unit, respectively.